1.
Entry from Alexandria: an optimized crystal structure of MgTi2Cu2 (PBE-GGA).

a = 3.7580 Å, b = 3.7580 Å, c = 12.3368 Å
α = 90.00°, β = 90.00°, γ = 90.00°
Closest atoms and distances in Å follow each position.
Space group I4/mmm (No. 139)
One atom of each set of equivalent atoms:
Mg1 0.0000 0.0000 0.0000  8 Ti 2.97
Ti1 0.0000 0.0000 0.3923  4 Cu 2.57, 1 Ti 2.66
Cu1 0.0000 0.5000 0.2500  4 Ti 2.57, 4 Cu 2.66

Summary:
E_form: 397.0 meV per atom



2.
Entry from Alexandria: an optimized crystal structure of B2MoW2 (PBE-GGA).

a = 4.4818 Å, b = 12.7151 Å, c = 4.4921 Å
α = 90.00°, β = 90.00°, γ = 90.00°
Closest atoms and distances in Å follow each position.
Space group Cmcm (No. 63)
One atom of each set of equivalent atoms:
B1 0.2168 0.1405 0.2500  1 B 1.94
Mo1 0.0000 0.0000 0.0000  2 Mo 2.25, 4 B 2.32
W1 0.0000 0.2191 0.7500  2 B 2.19
W2 0.0000 0.4039 0.2500  4 B 2.64, 2 W 2.73, 4 Mo 2.79

Summary:
offset from the most stable computed form: 791 meV/atom
E_form: 483.7 meV per atom



3.
Entry from Alexandria: an optimized crystal structure of KMgTc2W (PBE-GGA).

a = 4.8356 Å, b = 4.8356 Å, c = 4.8643 Å
α = 90.00°, β = 90.00°, γ = 90.00°
Closest atoms and distances in Å follow each position.
Space group P4/mmm (No. 123)
One atom of each set of equivalent atoms:
K1 0.0000 0.0000 0.0000  4 W 3.42, 8 Tc 3.43
Mg1 0.5000 0.5000 0.5000  4 Tc 2.42, 2 W 2.43
Tc1 0.0000 0.5000 0.5000  2 Mg 2.42
W1 0.5000 0.5000 0.0000  2 Mg 2.43

Summary:
E_form: 2473.9 meV per atom



4.
Entry from Alexandria: an optimized crystal structure of BaTa2As (PBE-GGA).

a = 6.1229 Å, b = 10.2545 Å, c = 2.9326 Å
α = 90.00°, β = 90.00°, γ = 90.00°
Closest atoms and distances in Å follow each position.
Space group Cmmm (No. 65)
One atom of each set of equivalent atoms:
Ba1 0.0000 0.0000 0.0000  2 Ba 2.93, 2 As 3.06
Ta1 0.2500 0.2500 0.5000  4 Ta 2.93-3.06
As1 0.0000 0.5000 0.0000  2 As 2.93, 2 Ba 3.06

Summary:
E_form: 1091.2 meV per atom



5.
Entry from Alexandria: an optimized crystal structure of BaTl6Ag2 (PBE-GGA).

a = 13.6900 Å, b = 13.6900 Å, c = 13.6900 Å
α = 90.00°, β = 90.00°, γ = 90.00°
Closest atoms and distances in Å follow each position.
Space group Fd-3m (No. 227, origin choice 2)
One atom of each set of equivalent atoms:
Ba1 0.1250 0.1250 0.1250  6 Tl 3.51
Tl1 0.1187 0.3750 0.8750  2 Ag 2.92
Ag1 0.0000 0.0000 0.5000  6 Tl 2.92

Summary:
E_form: 105.6 meV per atom



6.
Entry from Alexandria: an optimized crystal structure of PrGa4Cu12 (PBE-GGA).

a = 8.2956 Å, b = 8.2956 Å, c = 8.2956 Å
α = 90.00°, β = 90.00°, γ = 90.00°
Closest atoms and distances in Å follow each position.
Space group Im-3 (No. 204)
One atom of each set of equivalent atoms:
Pr1 0.0000 0.0000 0.0000  12 Cu 3.20
Ga1 0.2500 0.2500 0.2500  6 Cu 2.41
Cu1 0.0000 0.3561 0.1479  2 Cu 2.39-2.45, 2 Ga 2.41

Summary:
E_form: 286.2 meV per atom



7.
Entry from Alexandria: an optimized crystal structure of Pm2MgCu6 (PBE-GGA).

a = 9.9012 Å, b = 5.7257 Å, c = 5.6450 Å
α = 90.00°, β = 90.04°, γ = 90.00°
Closest atoms and distances in Å follow each position.
Space group C2/m (No. 12)
One atom of each set of equivalent atoms:
Pm1 0.1667 0.0000 0.3413  12 Cu 3.06-3.22, 1 Mg 3.42
Mg1 0.0000 0.5000 0.5000  6 Cu 2.68-2.69
Cu1 0.0926 0.2221 0.8479  4 Cu 2.51-2.55, 1 Mg 2.69
Cu2 0.1846 0.5000 0.1520  4 Cu 2.51-2.55, 1 Mg 2.68

Summary:
E_form: -113.8 meV per atom



8.
Entry from Alexandria: an optimized crystal structure of NaAc12Sn6 (PBE-GGA).

a = 16.3712 Å, b = 16.3712 Å, c = 9.3574 Å
α = 90.00°, β = 90.00°, γ = 120.00°
Closest atoms and distances in Å follow each position.
Space group R-3 (No. 148, hexagonal axes)
One atom of each set of equivalent atoms:
Na1 0.0000 0.0000 0.0000  12 Ac 3.99-4.03
Ac1 0.0126 0.1522 0.3469  2 Sn 3.32-3.47, 2 Ac 3.61-3.66
Ac2 0.0576 0.4816 0.6707  4 Sn 3.43-3.79, 2 Ac 3.61-3.66
Sn1 0.0113 0.7534 0.3340  5 Ac 3.32-3.61

Summary:
E_form: -299.6 meV per atom



9.
Entry from Alexandria: an optimized crystal structure of SrAc2ReO8 (PBE-GGA).

a = 4.6279 Å, b = 7.7085 Å, c = 5.4178 Å
α = 90.00°, β = 96.52°, γ = 90.00°
Closest atoms and distances in Å follow each position.
Space group P2/m (No. 10)
One atom of each set of equivalent atoms:
Sr1 0.0000 0.0000 0.0000  6 O 2.48-2.78
Ac1 0.5000 0.2616 0.5000  6 O 2.42-2.60
Re1 0.0000 0.5000 0.0000  6 O 1.88-1.93
O1 0.0844 0.3172 0.7766  1 Re 1.93
O2 0.3741 0.5000 0.1783  1 Re 1.88
O3 0.4830 0.0000 0.2508  2 Ac 2.42, 1 Sr 2.48, 1 O 2.69

Summary:
uncorrected formation energy: -2.390 eV per atom



10.
Entry from Alexandria: an optimized crystal structure of LaTlSe3 (PBE-GGA).

a = 5.8041 Å, b = 5.8041 Å, c = 5.8041 Å
α = 90.00°, β = 90.00°, γ = 90.00°
Closest atoms and distances in Å follow each position.
Space group Pm-3m (No. 221)
One atom of each set of equivalent atoms:
La1 0.0000 0.0000 0.0000  6 Se 2.90
Tl1 0.5000 0.5000 0.5000  12 Se 4.10
Se1 0.0000 0.0000 0.5000  2 La 2.90

Summary:
uncorrected formation energy: -0.656 eV per atom



11.
Entry from Alexandria: an optimized crystal structure of CsHg2BiSe (PBE-GGA).

a = 5.9790 Å, b = 5.9790 Å, c = 5.8906 Å
α = 90.00°, β = 90.00°, γ = 90.00°
Closest atoms and distances in Å follow each position.
Space group P4/mmm (No. 123)
One atom of each set of equivalent atoms:
Cs1 0.0000 0.0000 0.0000  8 Hg 4.20, 4 Se 4.23
Hg1 0.0000 0.5000 0.5000  2 Bi 2.99
Bi1 0.5000 0.5000 0.5000  2 Se 2.95, 4 Hg 2.99
Se1 0.5000 0.5000 0.0000  2 Bi 2.95

Summary:
uncorrected formation energy: -0.284 eV per atom



12.
Entry from Alexandria: an optimized crystal structure of Yb6Pr (PBE-GGA).

a = 8.6622 Å, b = 8.6622 Å, c = 8.6622 Å
α = 90.00°, β = 90.00°, γ = 90.00°
Closest atoms and distances in Å follow each position.
Space group Im-3m (No. 229)
One atom of each set of equivalent atoms:
Yb1 0.0000 0.2500 0.5000  4 Yb 3.06
Pr1 0.0000 0.0000 0.0000  24 Yb 4.84

Summary:
E_form: 1075.0 meV per atom



13.
Entry from Alexandria: an optimized crystal structure of LiAc3Pd3 (PBE-GGA).

a = 12.1241 Å, b = 4.2680 Å, c = 15.4603 Å
α = 90.00°, β = 110.45°, γ = 90.00°
Closest atoms and distances in Å follow each position.
Space group C2/m (No. 12)
One atom of each set of equivalent atoms:
Li1 0.2420 0.0000 0.4218  3 Pd 2.61-2.81
Ac1 0.0237 0.5000 0.3830  6 Pd 3.15-3.25, 3 Li 3.29-3.34
Ac2 0.1006 0.5000 0.9223  7 Pd 3.15-3.45
Ac3 0.2341 0.5000 0.2311  5 Pd 3.13-3.30
Pd1 0.0276 0.0000 0.2339  1 Pd 3.03, 1 Li 3.15, 6 Ac 3.15-3.30
Pd2 0.1226 0.0000 0.0770  2 Pd 3.03-3.09, 5 Ac 3.13-3.35
Pd3 0.1265 0.0000 0.5510  3 Li 2.61-2.81, 1 Pd 2.92

Summary:
offset from the most stable computed form: 0 meV/atom
E_form: -679.3 meV per atom



14.
Entry from Alexandria: an optimized crystal structure of MgPtCl2 (PBE-GGA).

a = 3.1074 Å, b = 3.1074 Å, c = 8.5111 Å
α = 90.00°, β = 90.00°, γ = 90.00°
Closest atoms and distances in Å follow each position.
Space group P4mm (No. 99)
One atom of each set of equivalent atoms:
Mg1 0.0000 0.0000 0.0000  4 Cl 2.62, 4 Pt 2.86
Pt1 0.5000 0.5000 0.2155  4 Cl 2.79, 4 Mg 2.86, 4 Pt 3.11
Cl1 0.0000 0.0000 0.4167  4 Pt 2.79, 4 Cl 3.11
Cl2 0.5000 0.5000 0.8331  4 Mg 2.62

Summary:
offset from the most stable computed form: 346 meV/atom
uncorrected formation energy: -0.520 eV per atom



15.
Entry from Alexandria: an optimized crystal structure of NaTaZn (PBE-GGA).

a = 2.8430 Å, b = 4.2114 Å, c = 10.4366 Å
α = 90.00°, β = 97.64°, γ = 90.00°
Closest atoms and distances in Å follow each position.
Space group Pm (No. 6)
One atom of each set of equivalent atoms:
Na1 0.0000 0.0000 0.0000  2 Na 2.84, 4 Zn 3.05-3.06
Na2 0.3771 0.5000 0.7742  2 Na 2.84
Ta1 0.2056 0.5000 0.4218  6 Zn 2.84-3.03, 6 Ta 2.84-2.94
Ta2 0.7751 0.0000 0.5653  1 Zn 2.76, 6 Ta 2.84-2.94
Zn1 0.5820 0.5000 0.1640  2 Zn 2.52
Zn2 0.6457 0.0000 0.2986  2 Zn 2.52, 1 Ta 2.76

Summary:
offset from the most stable computed form: 172 meV/atom
E_form: 308.7 meV per atom



16.
Entry from Alexandria: an optimized crystal structure of Pt2RhO6 (PBE-GGA).

a = 9.8574 Å, b = 3.8267 Å, c = 6.4893 Å
α = 90.00°, β = 116.96°, γ = 90.00°
Closest atoms and distances in Å follow each position.
Space group C2/m (No. 12)
One atom of each set of equivalent atoms:
Pt1 0.1800 0.0000 0.1119  6 O 1.97-2.09
Rh1 0.0000 0.0000 0.5000  2 O 1.95
O1 0.0134 0.0000 0.2095  1 Rh 1.95, 2 Pt 2.01-2.09
O2 0.1374 0.5000 0.5832  1 Pt 1.98
O3 0.1752 0.5000 0.0364  3 Pt 1.97-2.05

Summary:
offset from the most stable computed form: 219 meV/atom
uncorrected formation energy: -0.285 eV per atom



17.
Entry from Alexandria: an optimized crystal structure of DyTmAlHg (PBE-GGA).

a = 7.3150 Å, b = 7.3150 Å, c = 7.3150 Å
α = 90.00°, β = 90.00°, γ = 90.00°
Closest atoms and distances in Å follow each position.
Space group F-43m (No. 216)
One atom of each set of equivalent atoms:
Dy1 0.0000 0.0000 0.0000  4 Al 3.17, 4 Hg 3.17
Tm1 0.0000 0.0000 0.5000  4 Hg 3.17, 4 Al 3.17
Al1 0.2500 0.2500 0.7500  4 Dy 3.17, 4 Tm 3.17
Hg1 0.2500 0.2500 0.2500  4 Dy 3.17, 4 Tm 3.17

Summary:
offset from the most stable computed form: 35 meV/atom
E_form: -395.3 meV per atom



18.
Entry from Alexandria: an optimized crystal structure of GaTeSeN2 (PBE-GGA).

a = 3.9647 Å, b = 3.9647 Å, c = 6.4865 Å
α = 90.00°, β = 90.00°, γ = 90.00°
Closest atoms and distances in Å follow each position.
Space group P4/mmm (No. 123)
One atom of each set of equivalent atoms:
Ga1 0.0000 0.0000 0.0000  4 N 1.98
Te1 0.0000 0.0000 0.5000  4 Se 2.80
Se1 0.5000 0.5000 0.5000  4 Te 2.80
N1 0.0000 0.5000 0.0000  2 Ga 1.98

Summary:
offset from the most stable computed form: 59 meV/atom
uncorrected formation energy: 1.232 eV per atom



19.
Entry from Alexandria: an optimized crystal structure of Pr4NdHo2Tm2 (PBE-GGA).

a = 15.3666 Å, b = 5.1051 Å, c = 8.0827 Å
α = 90.00°, β = 108.14°, γ = 90.00°
Closest atoms and distances in Å follow each position.
Space group C2/m (No. 12)
One atom of each set of equivalent atoms:
Pr1 0.0536 0.0000 0.3309  4 Ho 3.60-3.64, 2 Nd 3.60, 4 Pr 3.60-3.66, 2 Tm 3.62-3.65
Pr2 0.2235 0.5000 0.3308  3 Tm 3.55-3.61, 3 Ho 3.60-3.65, 1 Nd 3.64, 5 Pr 3.64-3.66
Nd1 0.0000 0.5000 0.0000  2 Ho 3.60, 6 Pr 3.60-3.64, 4 Tm 3.64
Ho1 0.1117 0.5000 0.6691  7 Pr 3.60-3.65, 3 Tm 3.60, 1 Nd 3.60, 1 Ho 3.66
Tm1 0.1688 0.0000 0.9991  5 Pr 3.55-3.65, 2 Tm 3.57, 3 Ho 3.60, 2 Nd 3.64

Summary:
E_form: 21.9 meV per atom



20.
Entry from Alexandria: an optimized crystal structure of USbRh2 (PBE-GGA).

a = 4.4296 Å, b = 4.4296 Å, c = 3.9088 Å
α = 90.00°, β = 90.00°, γ = 90.00°
Closest atoms and distances in Å follow each position.
Space group P4/mmm (No. 123)
One atom of each set of equivalent atoms:
U1 0.0000 0.0000 0.0000  8 Rh 2.95, 4 Sb 3.13
Sb1 0.5000 0.5000 0.0000  8 Rh 2.95, 4 U 3.13
Rh1 0.0000 0.5000 0.5000  4 Sb 2.95, 4 U 2.95, 4 Rh 3.13

Summary:
uncorrected formation energy: -0.312 eV per atom



no.,D(E_F) (states/eV/atom),magnetization (μB/f.u.)
1,0.82,1.71
2,0.48,0.00
3,1.53,4.72
4,1.19,0.00
5,0.60,0.00
6,0.37,0.00
7,0.63,0.00
8,1.15,0.00
9,0.43,1.05
10,1.95,0.01
11,0.45,0.00
12,1.81,0.00
13,0.67,0.00
14,0.87,0.00
15,0.59,0.00
16,0.16,0.99
17,1.08,0.00
18,0.46,3.35
19,1.45,0.00
20,2.24,1.97